(1)
Material: AcSm3Sb4
Method: DFT, GGA-PBE
State: optimized geometry

Results
Formation energy from raw total energies   -1.146 eV/atom
Total DFT energy (no corrections)   -5.49 eV/atom

Lattice parameters (Å, degrees): 6.4523 6.4523 6.4523 90.00 90.00 90.00
Space group Pm-3m (No. 221)
Asymmetric unit:
Ac 0.0000 0.0000 0.0000 [1 per cell]
Sm 0.0000 0.5000 0.5000 [3 per cell]
Sb 0.0000 0.0000 0.5000 [3 per cell]
Sb 0.5000 0.5000 0.5000 [1 per cell]

---

(2)
Material: AcSmSb2
Method: DFT, GGA-PBE
State: optimized geometry

Results
Formation energy from raw total energies   -0.892 eV/atom
Energy above the lowest structure with this stoichiometry   290 meV/atom
Total DFT energy (no corrections)   -5.16 eV/atom

Lattice parameters (Å, degrees): 3.9589 3.9589 8.0288 90.00 90.00 90.00
Space group P4/mmm (No. 123)
Asymmetric unit:
Ac 0.0000 0.0000 0.0000 [1 per cell]
Sm 0.0000 0.0000 0.5000 [1 per cell]
Sb 0.5000 0.5000 0.2684 [2 per cell]

---

(3)
Material: AcSm2Sb
Method: DFT, GGA-PBE
State: optimized geometry

Results
Formation energy from raw total energies   -0.412 eV/atom
Energy above the lowest structure with this stoichiometry   86 meV/atom
Total DFT energy (no corrections)   -4.83 eV/atom

Lattice parameters (Å, degrees): 4.1370 4.1370 29.9861 90.00 90.00 120.00
Space group R-3m (No. 166, hexagonal axes)
Asymmetric unit:
Ac 0.0000 0.0000 0.0000 [3 per cell]
Sm 0.0000 0.0000 0.2309 [6 per cell]
Sb 0.0000 0.0000 0.5000 [3 per cell]

---

- What is the formation energy from raw total energies in the first record?
  -1.146 eV/atom